Compound: Y3Ag3RhO8
Source: Alexandria via LeMat-Bulk
Functional: PBE
Structure: relaxed

```
data_Y3Ag3RhO8
_chemical_formula_sum 'Y6 Ag6 Rh2 O16'
_cell_length_a 11.7235
_cell_length_b 6.7715
_cell_length_c 6.9376
_cell_angle_alpha 90.00
_cell_angle_beta 124.44
_cell_angle_gamma 90.00
_space_group_name_H-M_alt 'C 1 2/m 1'
_space_group_IT_number 12
_space_group_name_Hall '-C 2y'
loop_
_atom_site_label
_atom_site_fract_x
_atom_site_fract_y
_atom_site_fract_z
Y1 0.0000 0.0000 0.0000
Y2 0.2500 0.2500 0.0000
Ag1 0.0000 0.5000 0.5000
Ag2 0.2500 0.2500 0.5000
Rh1 0.0000 0.5000 0.0000
O1 0.0116 0.2736 0.8093
O2 0.2147 0.5000 0.1905
O3 0.2295 0.0000 0.1878
```

Results
energy relative to the elements, uncorrected = -1.771 eV per atom
volume = 15.14 Å³ per atom
crystal system = monoclinic
theoretical density = 6.00 g/cm³